Material: La6RuO12
Method: DFT, GGA-PBE
State: optimized geometry

Summary:
Energy relative to the elements, uncorrected = -2929 meV/atom

Cell lengths 10.3223, 10.3223, 9.9703 Å; angles 90.00, 90.00, 120.00 degrees
Space group R-3 (No. 148, hexagonal axes)
Asymmetric unit:
La 0.0479 0.2563 0.1486 (multiplicity 18)
Ru 0.0000 0.0000 0.5000 (multiplicity 3)
O 0.0374 0.2275 0.9045 (multiplicity 18)
O 0.0401 0.1783 0.3935 (multiplicity 18)

---

Material: Ca3HoCd4
Method: DFT, GGA-PBE
State: optimized geometry

Summary:
Energy of formation from the pure elements = -33 kJ/mol of atoms

Cell lengths 3.8028, 3.8028, 15.2395 Å; angles 90.00, 90.00, 90.00 degrees
Space group P4/mmm (No. 123)
Asymmetric unit:
Ca 0.0000 0.0000 0.0000 (multiplicity 1)
Ca 0.0000 0.0000 0.2537 (multiplicity 2)
Ho 0.0000 0.0000 0.5000 (multiplicity 1)
Cd 0.5000 0.5000 0.1265 (multiplicity 2)
Cd 0.5000 0.5000 0.3833 (multiplicity 2)

---

Material: NaP2S6
Method: DFT, GGA-PBE
State: optimized geometry

Summary:
Energy relative to the elements, uncorrected = -265 meV/atom

Cell lengths 14.8244, 14.0501, 5.6533 Å; angles 90.00, 105.81, 90.00 degrees
Space group C2/c (No. 15)
Asymmetric unit:
Na 0.0000 0.0888 0.2500 (multiplicity 4)
P 0.2430 0.0750 0.8232 (multiplicity 8)
S 0.1054 0.0915 0.7606 (multiplicity 8)
S 0.1807 0.3119 0.0227 (multiplicity 8)
S 0.2038 0.4444 0.4885 (multiplicity 8)